(1)
Below is a geometry-optimized CaTl2CCl structure, with properties calculated at the PBE level.

Cell lengths 6.299, 4.234, 6.299 Å; angles 90.00, 90.00, 90.00 degrees
Fractional coordinates of all 5 atoms:
C 0.000 0.500 0.000
Tl 0.000 0.000 0.500
Tl 0.500 0.000 0.000
Ca 0.000 0.000 0.000
Cl 0.500 0.500 0.500

E_tot, Ha/atom: -0.1015
Magnetic moment, μB/atom: 0.000
Space-group type: P4/mmm
N(E_F), states/eV/f.u.: 2.16

***

(2)
Below is a geometry-optimized TmBeCl structure, with properties calculated at the PBE level.

Cell lengths 3.766, 3.764, 11.611 Å; angles 69.70, 80.67, 59.98 degrees
Fractional coordinates of all 6 atoms:
Tm 0.992 0.689 0.327
Tm 0.008 0.311 0.673
Be 0.666 0.173 0.495
Be 0.334 0.827 0.505
Cl 0.318 0.192 0.171
Cl 0.682 0.808 0.829

E_tot, Ha/atom: -0.1615
Magnetic moment, μB/atom: 0.000
Space-group type: C2/m
N(E_F), states/eV/f.u.: 1.91

***

(3)
Below is a geometry-optimized Cs2HfSnCl6 structure, with properties calculated at the PBE level.

Cell lengths 7.567, 7.567, 8.454 Å; angles 63.42, 63.42, 90.00 degrees
Fractional coordinates of all 10 atoms:
Cs 0.750 0.250 0.500
Cs 0.250 0.750 0.500
Hf 0.000 0.000 0.000
Sn 0.500 0.500 0.000
Cl 0.191 0.191 0.618
Cl 0.809 0.809 0.382
Cl 0.230 0.230 0.000
Cl 0.770 0.770 0.000
Cl 0.770 0.230 0.000
Cl 0.230 0.770 0.000

E_tot, Ha/atom: -0.1534
Magnetic moment, μB/atom: 0.000
Space-group type: I4/mmm
N(E_F), states/eV/f.u.: 1.34

***

Question: The highest N(E_F) belongs to which entry?
Answer: CaTl2CCl

***

Question: E_tot of number 2 (TmBeCl)?
Answer: -0.1615 Ha/atom

***

Repeat the first record exactly.
Below is a geometry-optimized CaTl2CCl structure, with properties calculated at the PBE level.

Cell lengths 6.299, 4.234, 6.299 Å; angles 90.00, 90.00, 90.00 degrees
Fractional coordinates of all 5 atoms:
C 0.000 0.500 0.000
Tl 0.000 0.000 0.500
Tl 0.500 0.000 0.000
Ca 0.000 0.000 0.000
Cl 0.500 0.500 0.500

E_tot, Ha/atom: -0.1015
Magnetic moment, μB/atom: 0.000
Space-group type: P4/mmm
N(E_F), states/eV/f.u.: 2.16

***

Question: The lowest N(E_F) belongs to which entry?
Answer: Cs2HfSnCl6